First-principles (PBE-GGA) data for an optimized crystal structure of TbIn2, as listed in Alexandria via LeMat-Bulk.

Lattice parameters (Å, degrees): 6.682 6.682 6.682 148.96 148.96 44.47
Atoms (fractional coordinates):
1 Tb 0.000 0.000 0.000
2 In 0.327 0.327 0.000
3 In 0.673 0.673 0.000

formation energy from the elements	-6.36	kcal/mol of atoms
SG	I4/mmm

---

First-principles (PBE-GGA) data for an optimized crystal structure of La3TbY2Tm6, as listed in Alexandria via LeMat-Bulk.

Lattice parameters (Å, degrees): 6.200 6.200 11.759 95.03 95.03 119.98
Atoms (fractional coordinates):
1 La 0.000 0.000 0.000
2 La 0.333 0.667 0.000
3 La 0.667 0.333 0.000
4 Tb 0.500 0.500 0.500
5 Y 0.167 0.833 0.500
6 Y 0.833 0.167 0.500
7 Tm 0.086 0.419 0.255
8 Tm 0.249 0.249 0.745
9 Tm 0.419 0.086 0.255
10 Tm 0.581 0.914 0.745
11 Tm 0.751 0.751 0.255
12 Tm 0.914 0.581 0.745

formation energy from the elements	0.64	kcal/mol of atoms
SG	C2/m

---

First-principles (PBE-GGA) data for an optimized crystal structure of GeH, as listed in Alexandria via LeMat-Bulk.

Lattice parameters (Å, degrees): 4.531 4.531 5.132 90.00 90.00 90.00
Atoms (fractional coordinates):
1 Ge 0.230 0.230 0.000
2 Ge 0.270 0.730 0.500
3 Ge 0.730 0.270 0.500
4 Ge 0.770 0.770 0.000
5 H 0.168 0.832 0.000
6 H 0.332 0.332 0.500
7 H 0.668 0.668 0.500
8 H 0.832 0.168 0.000

SG	P4_2/mnm

---

First-principles (PBE-GGA) data for an optimized crystal structure of Pm6TlAg2, as listed in Alexandria via LeMat-Bulk.

Lattice parameters (Å, degrees): 8.917 8.917 8.917 110.22 110.05 108.16
Atoms (fractional coordinates):
1 Pm 0.043 0.823 0.220
2 Pm 0.245 0.543 0.297
3 Pm 0.245 0.948 0.703
4 Pm 0.271 0.318 0.589
5 Pm 0.271 0.682 0.952
6 Pm 0.397 0.177 0.220
7 Pm 0.603 0.823 0.780
8 Pm 0.729 0.318 0.048
9 Pm 0.729 0.682 0.411
10 Pm 0.755 0.052 0.297
11 Pm 0.755 0.457 0.703
12 Pm 0.957 0.177 0.780
13 Tl 0.000 0.500 0.500
14 Tl 0.500 0.000 0.500
15 Ag 0.000 0.141 0.141
16 Ag 0.000 0.859 0.859
17 Ag 0.368 0.368 0.000
18 Ag 0.632 0.632 0.000

formation energy from the elements	-3.88	kcal/mol of atoms
SG	Immm

---

First-principles (PBE-GGA) data for an optimized crystal structure of Ba2ErTc3O12, as listed in Alexandria via LeMat-Bulk.

Lattice parameters (Å, degrees): 7.111 7.111 7.111 62.49 62.49 62.49
Atoms (fractional coordinates):
1 Ba 0.127 0.127 0.127
2 Ba 0.873 0.873 0.873
3 Er 0.500 0.500 0.500
4 Tc 0.000 0.500 0.500
5 Tc 0.500 0.000 0.500
6 Tc 0.500 0.500 0.000
7 O 0.116 0.610 0.610
8 O 0.207 0.207 0.586
9 O 0.207 0.586 0.207
10 O 0.390 0.390 0.884
11 O 0.390 0.884 0.390
12 O 0.414 0.793 0.793
13 O 0.586 0.207 0.207
14 O 0.610 0.116 0.610
15 O 0.610 0.610 0.116
16 O 0.793 0.414 0.793
17 O 0.793 0.793 0.414
18 O 0.884 0.390 0.390

uncorrected formation energy	-35.4	eV/f.u.
SG	R-3m

---

First-principles (PBE-GGA) data for an optimized crystal structure of SrPmAg2S4, as listed in Alexandria via LeMat-Bulk.

Lattice parameters (Å, degrees): 6.319 6.319 6.319 112.23 112.19 104.12
Atoms (fractional coordinates):
1 Sr 0.000 0.000 0.000
2 Pm 0.500 0.500 0.000
3 Ag 0.251 0.751 0.500
4 Ag 0.749 0.249 0.500
5 S 0.061 0.495 0.000
6 S 0.495 0.060 0.000
7 S 0.505 0.505 0.565
8 S 0.939 0.940 0.435

uncorrected formation energy	-8.8	eV/f.u.
SG	I222

---

V (computed, Å³/f.u.): 79.1, 385.5, 26.3, 272.8, 268.3, 193.0
Total DFT energy (no corrections) (computed, eV for the cell shown): -10.94, -58.84, -27.10, -76.18, -134.39, -37.45